(1)
# ZnRuRh2, relaxed, DFT PBE
# mass density	10.78	g/cm3
data_ZnRuRh2
_space_group_name_H-M_alt 'C m m 2'
_space_group_IT_number 35
_space_group_name_Hall 'C 2 -2'
_cell_length_a 2.746
_cell_length_b 4.648
_cell_length_c 8.989
_cell_angle_alpha 90.00
_cell_angle_beta 90.00
_cell_angle_gamma 90.00
loop_
_atom_site_label
_atom_site_type_symbol
_atom_site_fract_x
_atom_site_fract_y
_atom_site_fract_z
Zn1 Zn 0.000 0.000 0.000
Ru1 Ru 0.000 0.500 0.249
Rh1 Rh 0.000 0.000 0.500
Rh2 Rh 0.000 0.500 0.759

***

(2)
# ZnRuRh2, relaxed, DFT PBE
# mass density	10.83	g/cm3
data_ZnRuRh2
_space_group_name_H-M_alt 'P m m m'
_space_group_IT_number 47
_space_group_name_Hall '-P 2 2'
_cell_length_a 2.800
_cell_length_b 4.472
_cell_length_c 4.558
_cell_angle_alpha 90.00
_cell_angle_beta 90.00
_cell_angle_gamma 90.00
loop_
_atom_site_label
_atom_site_type_symbol
_atom_site_fract_x
_atom_site_fract_y
_atom_site_fract_z
Zn1 Zn 0.000 0.000 0.000
Ru1 Ru 0.500 0.000 0.500
Rh1 Rh 0.000 0.500 0.500
Rh2 Rh 0.500 0.500 0.000

***

(3)
# ZnRuRh2, relaxed, DFT PBE
# mass density	10.88	g/cm3
data_ZnRuRh2
_space_group_name_H-M_alt 'R 3 m'
_space_group_IT_number 160
_space_group_name_Hall 'R 3 -2"'
_cell_length_a 4.3101
_cell_length_b 4.3101
_cell_length_c 10.6000
_cell_angle_alpha 90.00
_cell_angle_beta 90.00
_cell_angle_gamma 120.00
loop_
_atom_site_label
_atom_site_type_symbol
_atom_site_fract_x
_atom_site_fract_y
_atom_site_fract_z
Zn1 Zn 0.0000 0.0000 0.0000
Ru1 Ru 0.0000 0.0000 0.2502
Rh1 Rh 0.0000 0.0000 0.5003
Rh2 Rh 0.0000 0.0000 0.7497

***

Number 1: formation enthalpy at 0 K 0.6 eV per formula unit. Number 2: formation enthalpy at 0 K 0.4 eV per formula unit. Number 3: formation enthalpy at 0 K 0.4 eV per formula unit.